A | DFT (PBE) results for crystalline ZnAsBr2F at its relaxed geometry.

Values from the calculation:
Its density of states at the Fermi level is 0.88 states/eV/atom.

Cell lengths 4.9826, 4.9826, 5.0611 Å; angles 90.00, 90.00, 90.00 degrees
Element x y z (fractional)
Zn 0.0000 0.0000 0.0000
As 0.0000 0.0000 0.5000
Br 0.0000 0.5000 0.0000
Br 0.5000 0.0000 0.0000
F 0.5000 0.5000 0.5000

=====

B | DFT (PBE) results for crystalline ZnAsBr2F at its relaxed geometry.

Values from the calculation:
Its density of states at the Fermi level is 0.61 states/eV/atom.

Cell lengths 5.6751, 5.6751, 3.8687 Å; angles 90.00, 90.00, 90.00 degrees
Element x y z (fractional)
Zn 0.0000 0.0000 0.0000
As 0.5000 0.5000 0.0000
Br 0.0000 0.5000 0.5000
Br 0.5000 0.0000 0.5000
F 0.5000 0.5000 0.5000

=====

Stability, highest: B

=====

A | DFT (PBE) results for crystalline FeAsBr at its relaxed geometry.

Values from the calculation:
Its density of states at the Fermi level is 0.95 states/eV/atom.

Cell lengths 7.0296, 6.8256, 3.2051 Å; angles 80.20, 73.10, 26.70 degrees
Element x y z (fractional)
Fe 0.0000 0.0000 0.0000
As 0.6098 0.6098 0.3902
Br 0.3704 0.3704 0.6296

=====

B | DFT (PBE) results for crystalline FeAsBr at its relaxed geometry.

Values from the calculation:
Its density of states at the Fermi level is 1.71 states/eV/atom.

Cell lengths 4.6210, 4.6210, 4.6210 Å; angles 60.00, 60.00, 60.00 degrees
Element x y z (fractional)
Fe 0.0000 0.0000 0.0000
As 0.2500 0.2500 0.2500
Br 0.5000 0.5000 0.5000

=====

Stability, highest: A

=====

A | DFT (PBE) results for crystalline FeAsBr at its relaxed geometry.

Values from the calculation:
Its density of states at the Fermi level is 0.38 states/eV/atom.

Cell lengths 4.2190, 4.2190, 4.2190 Å; angles 60.00, 60.00, 60.00 degrees
Element x y z (fractional)
Fe 0.0000 0.0000 0.0000
As 0.7500 0.7500 0.7500
Br 0.2500 0.2500 0.2500

=====

B | DFT (PBE) results for crystalline FeAsBr at its relaxed geometry.

Values from the calculation:
Its density of states at the Fermi level is 0.45 states/eV/atom.

Cell lengths 3.6103, 3.6103, 5.8036 Å; angles 90.00, 90.00, 120.00 degrees
Element x y z (fractional)
Fe 0.0000 0.0000 0.0000
As 0.3333 0.6667 0.1507
Br 0.6667 0.3333 0.7242

=====

Stability, highest: B

=====

A | DFT (PBE) results for crystalline FeAs3Br at its relaxed geometry.

Values from the calculation:
Its density of states at the Fermi level is 1.35 states/eV/atom.

Cell lengths 5.0295, 5.0295, 5.0295 Å; angles 90.00, 90.00, 90.00 degrees
Element x y z (fractional)
Fe 0.0000 0.0000 0.0000
As 0.0000 0.5000 0.5000
As 0.5000 0.0000 0.5000
As 0.5000 0.5000 0.0000
Br 0.5000 0.5000 0.5000

=====

B | DFT (PBE) results for crystalline FeAs3Br at its relaxed geometry.

Values from the calculation:
Its density of states at the Fermi level is 1.37 states/eV/atom.

Cell lengths 4.6755, 4.6755, 4.6755 Å; angles 90.00, 90.00, 90.00 degrees
Element x y z (fractional)
Fe 0.0000 0.0000 0.0000
As 0.0000 0.0000 0.5000
As 0.0000 0.5000 0.0000
As 0.5000 0.0000 0.0000
Br 0.5000 0.5000 0.5000

=====

Stability, highest: B

=====

A | DFT (PBE) results for crystalline FeAsBr3 at its relaxed geometry.

Values from the calculation:
Its density of states at the Fermi level is 1.25 states/eV/atom.

Cell lengths 4.8320, 4.8320, 4.8320 Å; angles 90.00, 90.00, 90.00 degrees
Element x y z (fractional)
Fe 0.0000 0.0000 0.0000
As 0.5000 0.5000 0.5000
Br 0.0000 0.0000 0.5000
Br 0.0000 0.5000 0.0000
Br 0.5000 0.0000 0.0000

=====

B | DFT (PBE) results for crystalline FeAsBr3 at its relaxed geometry.

Values from the calculation:
Its density of states at the Fermi level is 2.36 states/eV/atom.

Cell lengths 5.3552, 5.3552, 5.3552 Å; angles 90.00, 90.00, 90.00 degrees
Element x y z (fractional)
Fe 0.0000 0.0000 0.0000
As 0.5000 0.5000 0.5000
Br 0.0000 0.5000 0.5000
Br 0.5000 0.0000 0.5000
Br 0.5000 0.5000 0.0000

=====

Stability, highest: A

=====

A | DFT (PBE) results for crystalline HfFeAs2Br at its relaxed geometry.

Values from the calculation:
Its density of states at the Fermi level is 0.86 states/eV/atom.

Cell lengths 4.5771, 4.5771, 4.8780 Å; angles 90.00, 90.00, 90.00 degrees
Element x y z (fractional)
Hf 0.0000 0.0000 0.0000
Fe 0.5000 0.5000 0.5000
As 0.0000 0.5000 0.5000
As 0.5000 0.0000 0.5000
Br 0.5000 0.5000 0.0000

=====

B | DFT (PBE) results for crystalline HfFeAs2Br at its relaxed geometry.

Values from the calculation:
Its density of states at the Fermi level is 1.49 states/eV/atom.

Cell lengths 5.1851, 5.1851, 5.1564 Å; angles 90.00, 90.00, 90.00 degrees
Element x y z (fractional)
Hf 0.0000 0.0000 0.0000
Fe 0.5000 0.5000 0.5000
As 0.0000 0.5000 0.0000
As 0.5000 0.0000 0.0000
Br 0.0000 0.0000 0.5000

=====

Stability, highest: A